Record 1
Zn4Au3: optimized geometry, GGA-PBE.

Density: 12.6 Mg/m³
Formation energy from the elements: -183 meV per atom
Crystal system: hexagonal
Excess energy over the best structure of this formula in the dataset: 0.0 meV/atom

The structure in CIF format:
```
data_Zn4Au3
_chemical_formula_sum 'Zn8 Au6'
_symmetry_space_group_name_H-M 'P 63/m'
_symmetry_Int_Tables_number 176
_symmetry_space_group_name_Hall '-P 6c'
_cell_length_a 7.4955
_cell_length_b 7.4955
_cell_length_c 4.6095
_cell_angle_alpha 90.00
_cell_angle_beta 90.00
_cell_angle_gamma 120.00
loop_
_atom_site_label
_atom_site_type_symbol
_atom_site_fract_x
_atom_site_fract_y
_atom_site_fract_z
_atom_site_occupancy
Zn1 Zn 0.0452 0.2353 0.2500 1
Zn2 Zn 0.3333 0.6667 0.2500 1
Au1 Au 0.0899 0.4533 0.7500 1
```

Record 2
Gd3AlGa2Ge2Ir: optimized geometry, GGA-PBE.

Density: 8.9 Mg/m³
Size of the total moment: 0.00 μB per atom
Raw total energy: -5.492 eV/atom
Crystal system: orthorhombic

The structure in CIF format:
```
data_Gd3AlGa2Ge2Ir
_chemical_formula_sum 'Gd6 Al2 Ga4 Ge4 Ir2'
_symmetry_space_group_name_H-M 'A m m 2'
_symmetry_Int_Tables_number 38
_symmetry_space_group_name_Hall 'A 2 -2'
_cell_length_a 4.2388
_cell_length_b 12.2573
_cell_length_c 6.9975
_cell_angle_alpha 90.00
_cell_angle_beta 90.00
_cell_angle_gamma 90.00
loop_
_atom_site_label
_atom_site_type_symbol
_atom_site_fract_x
_atom_site_fract_y
_atom_site_fract_z
_atom_site_occupancy
Gd1 Gd 0.0000 0.0000 0.0000 1
Gd2 Gd 0.0000 0.2068 0.3874 1
Al1 Al 0.5000 0.0000 0.3641 1
Ga1 Ga 0.5000 0.1161 0.7050 1
Ge1 Ge 0.5000 0.1645 0.0935 1
Ir1 Ir 0.0000 0.0000 0.5832 1
```

Record 3
TlCdCuPd: optimized geometry, GGA-PBE.

Density: 11.2 Mg/m³
Crystal system: cubic
Excess energy over the best structure of this formula in the dataset: 0.0 meV/atom

The structure in CIF format:
```
data_TlCdCuPd
_chemical_formula_sum 'Tl4 Cd4 Cu4 Pd4'
_symmetry_space_group_name_H-M 'F -4 3 m'
_symmetry_Int_Tables_number 216
_symmetry_space_group_name_Hall 'F -4 2 3'
_cell_length_a 6.6027
_cell_length_b 6.6027
_cell_length_c 6.6027
_cell_angle_alpha 90.00
_cell_angle_beta 90.00
_cell_angle_gamma 90.00
loop_
_atom_site_label
_atom_site_type_symbol
_atom_site_fract_x
_atom_site_fract_y
_atom_site_fract_z
_atom_site_occupancy
Tl1 Tl 0.0000 0.0000 0.0000 1
Cd1 Cd 0.0000 0.0000 0.5000 1
Cu1 Cu 0.2500 0.2500 0.2500 1
Pd1 Pd 0.2500 0.2500 0.7500 1
```

Record 4
LiScZnSi: optimized geometry, GGA-PBE.

Density: 3.8 Mg/m³
Size of the total moment: 0.00 μB per atom
Crystal system: cubic
Excess energy over the best structure of this formula in the dataset: 0.0 meV/atom

The structure in CIF format:
```
data_LiScZnSi
_chemical_formula_sum 'Li4 Sc4 Zn4 Si4'
_symmetry_space_group_name_H-M 'F -4 3 m'
_symmetry_Int_Tables_number 216
_symmetry_space_group_name_Hall 'F -4 2 3'
_cell_length_a 6.3510
_cell_length_b 6.3510
_cell_length_c 6.3510
_cell_angle_alpha 90.00
_cell_angle_beta 90.00
_cell_angle_gamma 90.00
loop_
_atom_site_label
_atom_site_type_symbol
_atom_site_fract_x
_atom_site_fract_y
_atom_site_fract_z
_atom_site_occupancy
Li1 Li 0.0000 0.0000 0.0000 1
Sc1 Sc 0.0000 0.0000 0.5000 1
Zn1 Zn 0.2500 0.2500 0.7500 1
Si1 Si 0.2500 0.2500 0.2500 1
```

Record 5
RbCuB4: optimized geometry, GGA-PBE.

Density: 4.4 Mg/m³
Crystal system: orthorhombic
Excess energy over the best structure of this formula in the dataset: 278.8 meV/atom

The structure in CIF format:
```
data_RbCuB4
_chemical_formula_sum 'Rb2 Cu2 B8'
_symmetry_space_group_name_H-M 'I m m m'
_symmetry_Int_Tables_number 71
_symmetry_space_group_name_Hall '-I 2 2'
_cell_length_a 2.6496
_cell_length_b 5.7770
_cell_length_c 9.5759
_cell_angle_alpha 90.00
_cell_angle_beta 90.00
_cell_angle_gamma 90.00
loop_
_atom_site_label
_atom_site_type_symbol
_atom_site_fract_x
_atom_site_fract_y
_atom_site_fract_z
_atom_site_occupancy
Rb1 Rb 0.0000 0.0000 0.0000 1
Cu1 Cu 0.0000 0.0000 0.5000 1
B1 B 0.0000 0.3534 0.2339 1
```

Record 6
Cu2Ag3: optimized geometry, GGA-PBE.

Density: 9.6 Mg/m³
Formation energy from the elements: 78 meV per atom
Crystal system: monoclinic
Excess energy over the best structure of this formula in the dataset: 46.0 meV/atom

The structure in CIF format:
```
data_Cu2Ag3
_chemical_formula_sum 'Cu4 Ag6'
_symmetry_space_group_name_H-M 'P 1 21/m 1'
_symmetry_Int_Tables_number 11
_symmetry_space_group_name_Hall '-P 2yb'
_cell_length_a 7.0321
_cell_length_b 2.8537
_cell_length_c 7.8849
_cell_angle_alpha 90.00
_cell_angle_beta 99.30
_cell_angle_gamma 90.00
loop_
_atom_site_label
_atom_site_type_symbol
_atom_site_fract_x
_atom_site_fract_y
_atom_site_fract_z
_atom_site_occupancy
Cu1 Cu 0.0346 0.2500 0.1456 1
Cu2 Cu 0.1121 0.7500 0.4259 1
Ag1 Ag 0.2549 0.2500 0.7175 1
Ag2 Ag 0.3297 0.7500 0.0374 1
Ag3 Ag 0.4079 0.2500 0.3529 1
```

Record 7
NaGaAu: optimized geometry, GGA-PBE.

Density: 7.3 Mg/m³
Raw total energy: -2.637 eV/atom
Crystal system: cubic

The structure in CIF format:
```
data_NaGaAu
_chemical_formula_sum 'Na4 Ga4 Au4'
_symmetry_space_group_name_H-M 'F -4 3 m'
_symmetry_Int_Tables_number 216
_symmetry_space_group_name_Hall 'F -4 2 3'
_cell_length_a 6.3974
_cell_length_b 6.3974
_cell_length_c 6.3974
_cell_angle_alpha 90.00
_cell_angle_beta 90.00
_cell_angle_gamma 90.00
loop_
_atom_site_label
_atom_site_type_symbol
_atom_site_fract_x
_atom_site_fract_y
_atom_site_fract_z
_atom_site_occupancy
Na1 Na 0.0000 0.0000 0.0000 1
Ga1 Ga 0.2500 0.2500 0.7500 1
Au1 Au 0.0000 0.0000 0.5000 1
```

Record 8
ZrBeNiAs: optimized geometry, GGA-PBE.

Density: 6.7 Mg/m³
Size of the total moment: 0.00 μB per atom
Raw total energy: -5.631 eV/atom
Crystal system: cubic

The structure in CIF format:
```
data_ZrBeNiAs
_chemical_formula_sum 'Zr4 Be4 Ni4 As4'
_symmetry_space_group_name_H-M 'F -4 3 m'
_symmetry_Int_Tables_number 216
_symmetry_space_group_name_Hall 'F -4 2 3'
_cell_length_a 6.1516
_cell_length_b 6.1516
_cell_length_c 6.1516
_cell_angle_alpha 90.00
_cell_angle_beta 90.00
_cell_angle_gamma 90.00
loop_
_atom_site_label
_atom_site_type_symbol
_atom_site_fract_x
_atom_site_fract_y
_atom_site_fract_z
_atom_site_occupancy
Zr1 Zr 0.0000 0.0000 0.0000 1
Be1 Be 0.2500 0.2500 0.2500 1
Ni1 Ni 0.2500 0.2500 0.7500 1
As1 As 0.0000 0.0000 0.5000 1
```